Entry 1:
The following is a PBE calculation of crystalline RbTl2Au4 at its relaxed geometry, from the Alexandria database.

Density in Mg/m³: 11.40
ΔE_f in eV per atom: -0.10
N(E_F) in states/eV per atom: 0.57
Total magnetic moment in μB/cell: 0.00

Lattice parameters (Å, degrees): 7.874 7.874 7.874 106.98 106.98 114.58
Positions (direct):
Rb  0.250  0.250  0.000
Rb  0.750  0.750  0.000
Tl  0.134  0.634  0.768
Tl  0.366  0.134  0.500
Tl  0.634  0.866  0.500
Tl  0.866  0.366  0.232
Au  0.006  0.821  0.500
Au  0.179  0.679  0.184
Au  0.321  0.506  0.500
Au  0.494  0.994  0.816
Au  0.506  0.006  0.184
Au  0.679  0.494  0.500
Au  0.821  0.321  0.816
Au  0.994  0.179  0.500

---

Entry 2:
The following is a PBE calculation of crystalline NaAl2Br8 at its relaxed geometry, from the Alexandria database.

Density in Mg/m³: 2.63
N(E_F) in states/eV per atom: 0.96
Formation energy without anion corrections in eV/f.u.: -11.5
Total magnetic moment in μB/cell: 0.00

Lattice parameters (Å, degrees): 8.864 8.864 6.694 102.26 102.26 62.73
Positions (direct):
Na  0.000  0.000  0.000
Al  0.171  0.171  0.665
Al  0.829  0.829  0.335
Br  0.111  0.705  0.260
Br  0.179  0.179  0.325
Br  0.295  0.889  0.740
Br  0.316  0.316  0.883
Br  0.684  0.684  0.117
Br  0.705  0.111  0.260
Br  0.821  0.821  0.675
Br  0.889  0.295  0.740